[1]
VASP calculation (GGA-PBE) on a relaxed K2TaP crystal.

Unit cell a=3.8972 b=3.9155 c=5.8793 alpha=90.00 beta=90.00 gamma=90.00
With the nearest neighbours (Å) after each atom.
Atoms (fractional coordinates):
K1 0.5000 0.5000 0.0000  4 K 2.76
K2 0.0000 0.0000 0.0000  4 K 2.76
P1 0.5000 0.0000 0.5000  4 Ta 2.76
Ta1 0.0000 0.5000 0.5000  4 P 2.76

VASP energy, eV per atom: -4.0580
Energy of formation from the pure elements, eV/atom: 0.806
SG: Pmmm, No. 47
Theoretical density, g cm⁻³: 5.4
Crystal system: orthorhombic


[2]
VASP calculation (GGA-PBE) on a relaxed Nd3Ho4Tm crystal.

Unit cell a=3.4868 b=11.6651 c=8.8945 alpha=130.97 beta=101.30 gamma=90.00
With the nearest neighbours (Å) after each atom.
Atoms (fractional coordinates):
Ho1 0.3652 0.1097 0.7304  1 Tm 3.35, 3 Nd 3.37-3.63, 5 Ho 3.46-3.50
Ho2 0.6348 0.8903 0.2696  1 Tm 3.35, 3 Nd 3.37-3.63, 5 Ho 3.46-3.50
Nd1 0.2432 0.2431 0.4863  6 Ho 3.37-3.63, 4 Nd 3.49-3.76, 2 Tm 3.60
Ho3 0.3653 0.6205 0.7307  1 Tm 3.35, 3 Nd 3.37-3.63, 5 Ho 3.46-3.50
Tm1 0.5000 0.0000 0.0000  4 Ho 3.35, 2 Tm 3.49, 4 Nd 3.60
Ho4 0.6347 0.3795 0.2693  1 Tm 3.35, 3 Nd 3.37-3.63, 5 Ho 3.46-3.50
Nd2 0.0000 0.5000 0.0000  6 Nd 3.49-3.76, 8 Ho 3.87
Nd3 0.7568 0.7569 0.5137  6 Ho 3.37-3.63, 4 Nd 3.49-3.76, 2 Tm 3.60

VASP energy, eV per atom: -4.5050
Energy of formation from the pure elements, eV/atom: 0.131
SG: Immm, No. 71
Theoretical density, g cm⁻³: 7.9
Crystal system: orthorhombic


[3]
VASP calculation (GGA-PBE) on a relaxed BaTaCo2 crystal.

Unit cell a=7.6261 b=4.9285 c=3.0791 alpha=90.10 beta=66.05 gamma=130.30
With the nearest neighbours (Å) after each atom.
Atoms (fractional coordinates):
Ba1 0.5000 0.5000 0.0000  8 Co 2.90-2.91, 2 Ba 3.08
Co1 0.5000 0.0000 0.5000  4 Ba 2.90-2.91, 4 Ta 2.90-2.91, 2 Co 3.08
Co2 0.0000 0.0000 0.0000  4 Ta 2.90-2.91, 4 Ba 2.90-2.91, 2 Co 3.08
Ta1 0.0000 0.5000 0.5000  8 Co 2.90-2.91, 2 Ta 3.08

VASP energy, eV per atom: -6.1417
Energy of formation from the pure elements, eV/atom: 0.855
SG: C2/m, No. 12
Theoretical density, g cm⁻³: 9.7
Crystal system: monoclinic


Question: The lowest VASP energy belongs to which entry?
Answer: BaTaCo2


Question: energy of formation from the pure elements of number 3 (BaTaCo2)?
Answer: 0.855 eV/atom


Question: Which value of VASP energy does entry 3 give?
Answer: -6.1417 eV per atom


Question: Among the records above, which one has the lowest energy of formation from the pure elements?
Answer: Nd3Ho4Tm